Entry 1:
This record from Alexandria describes an optimized crystal structure of ZnCrTeN2. The functional is GGA-PBE.

* volume: 19.7 Å³ per atom
* E above lowest polymorph: 1.0474 eV per atom
* E_tot: -4.618 eV/atom
* Fermi-level density of states: 0.693 states/eV/atom
* E_form (uncorrected): 1.52 eV/atom

Cell: 3.936 3.936 6.360 Å, 90.00 90.00 90.00°
Space group P4/mmm (No. 123)
Asymmetric unit:
Zn1 0.000 0.000 0.000 [1 per cell]
Cr1 0.500 0.500 0.500 [1 per cell]
Te1 0.000 0.000 0.500 [1 per cell]
N1 0.000 0.500 0.000 [2 per cell]

---

Entry 2:
This record from Alexandria describes an optimized crystal structure of ZnCrTeN2. The functional is GGA-PBE.

* volume: 16.1 Å³ per atom
* E above lowest polymorph: 0.0000 eV per atom
* E_tot: -5.665 eV/atom
* Fermi-level density of states: 0.593 states/eV/atom
* E_form (uncorrected): 0.47 eV/atom

Cell: 3.760 3.760 5.709 Å, 90.00 90.00 90.00°
Space group P4/mmm (No. 123)
Asymmetric unit:
Zn1 0.000 0.000 0.000 [1 per cell]
Cr1 0.500 0.500 0.500 [1 per cell]
Te1 0.500 0.500 0.000 [1 per cell]
N1 0.000 0.500 0.500 [2 per cell]